Entry from Alexandria via LeMat-Bulk: crystalline LaZn3Sn at its relaxed geometry (GGA-PBEsol).

Unit cell a=5.005 b=5.005 c=5.005 alpha=90.00 beta=90.00 gamma=90.00
Sites, in units of the cell vectors:
1 Zn 0.000 0.500 0.000
2 Zn 0.000 0.000 0.500
3 Zn 0.500 0.000 0.000
4 Sn 0.000 0.000 0.000
5 La 0.500 0.500 0.500

Summary:
Fermi-level density of states in states/eV per cell: 3.1
Energy of formation from the pure elements in meV per atom: 274
Total moment in μB/cell: 0.0

---

Entry from Alexandria via LeMat-Bulk: crystalline SrTiCu3 at its relaxed geometry (GGA-PBEsol).

Unit cell a=4.879 b=4.879 c=4.879 alpha=90.00 beta=90.00 gamma=90.00
Sites, in units of the cell vectors:
1 Sr 0.000 0.000 0.000
2 Cu 0.000 0.500 0.000
3 Cu 0.000 0.000 0.500
4 Cu 0.500 0.000 0.000
5 Ti 0.500 0.500 0.500

Summary:
Fermi-level density of states in states/eV per cell: 4.7
Energy of formation from the pure elements in meV per atom: 1636
Total moment in μB/cell: 2.1

---

Entry from Alexandria via LeMat-Bulk: crystalline AlIn3 at its relaxed geometry (GGA-PBEsol).

Unit cell a=3.178 b=5.548 c=5.548 alpha=108.09 beta=90.00 gamma=90.00
Sites, in units of the cell vectors:
1 Al 0.000 0.000 0.000
2 In 0.500 0.000 0.500
3 In 0.500 0.500 0.000
4 In 0.000 0.500 0.500

Summary:
Fermi-level density of states in states/eV per cell: 2.0
Energy of formation from the pure elements in meV per atom: 111
Total moment in μB/cell: 0.0